1.
Be2RuSe: relaxed, PBE.

Geometry as CIF:
```
data_Be2RuSe
_chemical_formula_sum 'Be4 Ru2 Se2'
_symmetry_space_group_name_H-M 'C 1 m 1'
_symmetry_Int_Tables_number 8
_symmetry_space_group_name_Hall 'C -2y'
_cell_length_a 7.593
_cell_length_b 2.943
_cell_length_c 5.243
_cell_angle_alpha 90.00
_cell_angle_beta 93.61
_cell_angle_gamma 90.00
loop_
_atom_site_label
_atom_site_fract_x
_atom_site_fract_y
_atom_site_fract_z
Be1 0.000 0.000 0.000
Be2 0.207 0.500 0.828
Ru1 0.286 0.000 0.143
Se1 0.108 0.500 0.416
```

Computed properties:
- ΔE_f (raw) (eV/atom) = -0.039

---

2.
BeRu2Se: relaxed, PBE.

Geometry as CIF:
```
data_BeRu2Se
_chemical_formula_sum 'Be4 Ru8 Se4'
_symmetry_space_group_name_H-M 'I -4 2 d'
_symmetry_Int_Tables_number 122
_symmetry_space_group_name_Hall 'I -4 2bw'
_cell_length_a 5.231
_cell_length_b 5.231
_cell_length_c 10.211
_cell_angle_alpha 90.00
_cell_angle_beta 90.00
_cell_angle_gamma 90.00
loop_
_atom_site_label
_atom_site_fract_x
_atom_site_fract_y
_atom_site_fract_z
Be1 0.000 0.000 0.000
Ru1 0.221 0.250 0.125
Se1 0.000 0.000 0.500
```

Computed properties:
- ΔE_f (raw) (eV/atom) = 0.592
- relative energy among the computed polymorphs (meV/atom) = 570.9

---

3.
BeRu2Se: relaxed, PBE.

Geometry as CIF:
```
data_BeRu2Se
_chemical_formula_sum 'Be2 Ru4 Se2'
_symmetry_space_group_name_H-M 'C m m 2'
_symmetry_Int_Tables_number 35
_symmetry_space_group_name_Hall 'C 2 -2'
_cell_length_a 2.890
_cell_length_b 4.736
_cell_length_c 8.308
_cell_angle_alpha 90.00
_cell_angle_beta 90.00
_cell_angle_gamma 90.00
loop_
_atom_site_label
_atom_site_fract_x
_atom_site_fract_y
_atom_site_fract_z
Be1 0.000 0.000 0.000
Ru1 0.000 0.000 0.523
Ru2 0.000 0.500 0.790
Se1 0.000 0.500 0.258
```

Computed properties:
- ΔE_f (raw) (eV/atom) = 0.502
- relative energy among the computed polymorphs (meV/atom) = 481.7

---

4.
Be2RuSe: relaxed, PBE.

Geometry as CIF:
```
data_Be2RuSe
_chemical_formula_sum 'Be2 Ru1 Se1'
_symmetry_space_group_name_H-M 'P 1 m 1'
_symmetry_Int_Tables_number 6
_symmetry_space_group_name_Hall 'P -2y'
_cell_length_a 3.267
_cell_length_b 3.285
_cell_length_c 4.800
_cell_angle_alpha 90.00
_cell_angle_beta 101.17
_cell_angle_gamma 90.00
loop_
_atom_site_label
_atom_site_fract_x
_atom_site_fract_y
_atom_site_fract_z
Be1 0.000 0.000 0.000
Be2 0.038 0.500 0.320
Ru1 0.561 0.000 0.399
Se1 0.537 0.500 0.829
```

Computed properties:
- ΔE_f (raw) (eV/atom) = 0.066

---

5.
BeRu4Se: relaxed, PBE.

Geometry as CIF:
```
data_BeRu4Se
_chemical_formula_sum 'Be4 Ru16 Se4'
_symmetry_space_group_name_H-M 'F -4 3 m'
_symmetry_Int_Tables_number 216
_symmetry_space_group_name_Hall 'F -4 2 3'
_cell_length_a 7.204
_cell_length_b 7.204
_cell_length_c 7.204
_cell_angle_alpha 90.00
_cell_angle_beta 90.00
_cell_angle_gamma 90.00
loop_
_atom_site_label
_atom_site_fract_x
_atom_site_fract_y
_atom_site_fract_z
Be1 0.000 0.000 0.000
Ru1 0.125 0.125 0.375
Se1 0.250 0.250 0.750
```

Computed properties:
- ΔE_f (raw) (eV/atom) = 0.833

---

6.
BeRu2Se: relaxed, PBE.

Geometry as CIF:
```
data_BeRu2Se
_chemical_formula_sum 'Be1 Ru2 Se1'
_symmetry_space_group_name_H-M 'P 4/m m m'
_symmetry_Int_Tables_number 123
_symmetry_space_group_name_Hall '-P 4 2'
_cell_length_a 2.964
_cell_length_b 2.964
_cell_length_c 5.858
_cell_angle_alpha 90.00
_cell_angle_beta 90.00
_cell_angle_gamma 90.00
loop_
_atom_site_label
_atom_site_fract_x
_atom_site_fract_y
_atom_site_fract_z
Be1 0.000 0.000 0.000
Ru1 0.500 0.500 0.238
Se1 0.000 0.000 0.500
```

Computed properties:
- ΔE_f (raw) (eV/atom) = 0.021
- relative energy among the computed polymorphs (meV/atom) = 0.0

---

7.
BeRu2Se: relaxed, PBE.

Geometry as CIF:
```
data_BeRu2Se
_chemical_formula_sum 'Be2 Ru4 Se2'
_symmetry_space_group_name_H-M 'C 1 m 1'
_symmetry_Int_Tables_number 8
_symmetry_space_group_name_Hall 'C -2y'
_cell_length_a 8.457
_cell_length_b 2.955
_cell_length_c 4.462
_cell_angle_alpha 90.00
_cell_angle_beta 106.50
_cell_angle_gamma 90.00
loop_
_atom_site_label
_atom_site_fract_x
_atom_site_fract_y
_atom_site_fract_z
Be1 0.000 0.000 0.000
Ru1 0.004 0.500 0.559
Ru2 0.270 0.000 0.953
Se1 0.255 0.500 0.382
```

Computed properties:
- ΔE_f (raw) (eV/atom) = 0.055
- relative energy among the computed polymorphs (meV/atom) = 34.0

---

8.
Be3RuSe: relaxed, PBE.

Geometry as CIF:
```
data_Be3RuSe
_chemical_formula_sum 'Be3 Ru1 Se1'
_symmetry_space_group_name_H-M 'P m -3 m'
_symmetry_Int_Tables_number 221
_symmetry_space_group_name_Hall '-P 4 2 3'
_cell_length_a 4.140
_cell_length_b 4.140
_cell_length_c 4.140
_cell_angle_alpha 90.00
_cell_angle_beta 90.00
_cell_angle_gamma 90.00
loop_
_atom_site_label
_atom_site_fract_x
_atom_site_fract_y
_atom_site_fract_z
Be1 0.000 0.000 0.500
Ru1 0.500 0.500 0.500
Se1 0.000 0.000 0.000
```

Computed properties:
- ΔE_f (raw) (eV/atom) = 1.136
- relative energy among the computed polymorphs (meV/atom) = 394.9